Material: MoSO4
Method: DFT, GGA+U
State: relaxed

**E_tot**: -75.9 eV/cell

```
data_MoSO4
_chemical_formula_sum 'Mo2 S2 O8'
_cell_length_a 4.9943
_cell_length_b 4.9943
_cell_length_c 7.0613
_cell_angle_alpha 90.00
_cell_angle_beta 90.00
_cell_angle_gamma 115.56
_symmetry_space_group_name_H-M 'P 1'
_symmetry_Int_Tables_number 1
loop_
_symmetry_equiv_pos_as_xyz
'x,y,z'
loop_
_atom_site_label
_atom_site_fract_x
_atom_site_fract_y
_atom_site_fract_z
Mo1 0.0000 0.0000 0.0000
Mo2 0.0000 0.0000 0.5000
S1 0.3502 0.6498 0.7500
S2 0.6498 0.3502 0.2500
O1 0.7426 0.2574 0.0744
O2 0.2574 0.7426 0.5744
O3 0.2574 0.7426 0.9256
O4 0.7426 0.2574 0.4256
O5 0.3123 0.2242 0.2500
O6 0.6877 0.7758 0.7500
O7 0.2242 0.3123 0.7500
O8 0.7758 0.6877 0.2500
```